[1]
# Mg2AlGa (PBE, optimized geometry)
# E = -2.544 eV per atom
# space group = P4/mmm, No. 123
# formation energy from the elements = -0.055 eV per atom
# total magnetization = 0.00 μB/cell
data_Mg2AlGa
_chemical_formula_sum 'Mg2 Al1 Ga1'
_cell_length_a 4.281
_cell_length_b 4.281
_cell_length_c 4.168
_cell_angle_alpha 90.00
_cell_angle_beta 90.00
_cell_angle_gamma 90.00
_space_group_name_H-M_alt 'P 1'
_space_group_IT_number 1
loop_
_space_group_symop_operation_xyz
'x,y,z'
loop_
_atom_site_label
_atom_site_type_symbol
_atom_site_fract_x
_atom_site_fract_y
_atom_site_fract_z
Mg1 Mg 0.000 0.500 0.000
Mg2 Mg 0.500 0.000 0.000
Al1 Al 0.000 0.000 0.500
Ga1 Ga 0.500 0.500 0.500

[2]
# Mg2AlGa8 (PBE, optimized geometry)
# E = -2.871 eV per atom
# space group = P4/mmm, No. 123
# formation energy from the elements = -0.039 eV per atom
# total magnetization = 0.00 μB/cell
data_Mg2AlGa8
_chemical_formula_sum 'Mg2 Al1 Ga8'
_cell_length_a 4.259
_cell_length_b 4.259
_cell_length_c 11.608
_cell_angle_alpha 90.00
_cell_angle_beta 90.00
_cell_angle_gamma 90.00
_space_group_name_H-M_alt 'P 1'
_space_group_IT_number 1
loop_
_space_group_symop_operation_xyz
'x,y,z'
loop_
_atom_site_label
_atom_site_type_symbol
_atom_site_fract_x
_atom_site_fract_y
_atom_site_fract_z
Mg1 Mg 0.000 0.000 0.174
Mg2 Mg 0.000 0.000 0.826
Al1 Al 0.000 0.000 0.500
Ga1 Ga 0.000 0.500 0.000
Ga2 Ga 0.000 0.500 0.353
Ga3 Ga 0.000 0.500 0.647
Ga4 Ga 0.500 0.000 0.000
Ga5 Ga 0.500 0.000 0.353
Ga6 Ga 0.500 0.000 0.647
Ga7 Ga 0.500 0.500 0.183
Ga8 Ga 0.500 0.500 0.817

[3]
# Mg3AlGa3 (PBE, optimized geometry)
# E = -2.548 eV per atom
# space group = C2/m, No. 12
# formation energy from the elements = -0.032 eV per atom
# energy above the lowest structure with this stoichiometry = 68.4 meV/atom
# total magnetization = 0.00 μB/cell
data_Mg3AlGa3
_chemical_formula_sum 'Mg6 Al2 Ga6'
_cell_length_a 7.507
_cell_length_b 7.507
_cell_length_c 6.634
_cell_angle_alpha 104.17
_cell_angle_beta 104.17
_cell_angle_gamma 117.74
_space_group_name_H-M_alt 'P 1'
_space_group_IT_number 1
loop_
_space_group_symop_operation_xyz
'x,y,z'
loop_
_atom_site_label
_atom_site_type_symbol
_atom_site_fract_x
_atom_site_fract_y
_atom_site_fract_z
Mg1 Mg 0.128 0.872 0.000
Mg2 Mg 0.298 0.702 0.500
Mg3 Mg 0.442 0.442 0.181
Mg4 Mg 0.558 0.558 0.819
Mg5 Mg 0.702 0.298 0.500
Mg6 Mg 0.872 0.128 0.000
Al1 Al 0.134 0.134 0.721
Al2 Al 0.866 0.866 0.279
Ga1 Ga 0.131 0.489 0.848
Ga2 Ga 0.234 0.234 0.399
Ga3 Ga 0.489 0.131 0.848
Ga4 Ga 0.511 0.869 0.152
Ga5 Ga 0.766 0.766 0.601
Ga6 Ga 0.869 0.511 0.152

[4]
# Mg6Al2Ga (PBE, optimized geometry)
# E = -2.220 eV per atom
# space group = Immm, No. 71
# formation energy from the elements = 0.011 eV per atom
# energy above the lowest structure with this stoichiometry = 20.9 meV/atom
# total magnetization = 0.00 μB/cell
data_Mg6Al2Ga
_chemical_formula_sum 'Mg12 Al4 Ga2'
_cell_length_a 8.015
_cell_length_b 8.015
_cell_length_c 8.015
_cell_angle_alpha 116.88
_cell_angle_beta 110.81
_cell_angle_gamma 101.11
_space_group_name_H-M_alt 'P 1'
_space_group_IT_number 1
loop_
_space_group_symop_operation_xyz
'x,y,z'
loop_
_atom_site_label
_atom_site_type_symbol
_atom_site_fract_x
_atom_site_fract_y
_atom_site_fract_z
Mg1 Mg 0.044 0.828 0.216
Mg2 Mg 0.255 0.564 0.309
Mg3 Mg 0.255 0.945 0.691
Mg4 Mg 0.283 0.309 0.592
Mg5 Mg 0.283 0.691 0.974
Mg6 Mg 0.388 0.172 0.216
Mg7 Mg 0.612 0.828 0.784
Mg8 Mg 0.717 0.309 0.026
Mg9 Mg 0.717 0.691 0.408
Mg10 Mg 0.745 0.055 0.309
Mg11 Mg 0.745 0.436 0.691
Mg12 Mg 0.956 0.172 0.784
Al1 Al 0.000 0.163 0.163
Al2 Al 0.000 0.837 0.837
Al3 Al 0.371 0.371 0.000
Al4 Al 0.629 0.629 0.000
Ga1 Ga 0.000 0.500 0.500
Ga2 Ga 0.500 0.000 0.500

[5]
# MgAl5Ga4 (PBE, optimized geometry)
# E = -3.193 eV per atom
# space group = Pmmn, No. 59
# formation energy from the elements = 0.049 eV per atom
# total magnetization = 0.00 μB/cell
data_MgAl5Ga4
_chemical_formula_sum 'Mg2 Al10 Ga8'
_cell_length_a 8.311
_cell_length_b 9.672
_cell_length_c 4.705
_cell_angle_alpha 90.00
_cell_angle_beta 90.00
_cell_angle_gamma 90.00
_space_group_name_H-M_alt 'P 1'
_space_group_IT_number 1
loop_
_space_group_symop_operation_xyz
'x,y,z'
loop_
_atom_site_label
_atom_site_type_symbol
_atom_site_fract_x
_atom_site_fract_y
_atom_site_fract_z
Mg1 Mg 0.250 0.250 0.191
Mg2 Mg 0.750 0.750 0.809
Al1 Al 0.080 0.515 0.246
Al2 Al 0.080 0.985 0.246
Al3 Al 0.250 0.750 0.105
Al4 Al 0.420 0.515 0.246
Al5 Al 0.420 0.985 0.246
Al6 Al 0.580 0.015 0.754
Al7 Al 0.580 0.485 0.754
Al8 Al 0.750 0.250 0.895
Al9 Al 0.920 0.015 0.754
Al10 Al 0.920 0.485 0.754
Ga1 Ga 0.070 0.750 0.608
Ga2 Ga 0.250 0.085 0.714
Ga3 Ga 0.250 0.415 0.714
Ga4 Ga 0.430 0.750 0.608
Ga5 Ga 0.570 0.250 0.392
Ga6 Ga 0.750 0.585 0.286
Ga7 Ga 0.750 0.915 0.286
Ga8 Ga 0.930 0.250 0.392

[6]
# Mg12AlGa6 (PBE, optimized geometry)
# E = -2.234 eV per atom
# space group = R-3, No. 148
# formation energy from the elements = -0.074 eV per atom
# total magnetization = 0.00 μB/cell
data_Mg12AlGa6
_chemical_formula_sum 'Mg12 Al1 Ga6'
_cell_length_a 8.046
_cell_length_b 8.046
_cell_length_c 8.046
_cell_angle_alpha 110.57
_cell_angle_beta 110.57
_cell_angle_gamma 110.57
_space_group_name_H-M_alt 'P 1'
_space_group_IT_number 1
loop_
_space_group_symop_operation_xyz
'x,y,z'
loop_
_atom_site_label
_atom_site_type_symbol
_atom_site_fract_x
_atom_site_fract_y
_atom_site_fract_z
Mg1 Mg 0.027 0.296 0.176
Mg2 Mg 0.176 0.027 0.296
Mg3 Mg 0.237 0.604 0.667
Mg4 Mg 0.296 0.176 0.027
Mg5 Mg 0.333 0.763 0.396
Mg6 Mg 0.396 0.333 0.763
Mg7 Mg 0.604 0.667 0.237
Mg8 Mg 0.667 0.237 0.604
Mg9 Mg 0.704 0.824 0.973
Mg10 Mg 0.763 0.396 0.333
Mg11 Mg 0.824 0.973 0.704
Mg12 Mg 0.973 0.704 0.824
Al1 Al 0.500 0.500 0.500
Ga1 Ga 0.086 0.864 0.560
Ga2 Ga 0.136 0.440 0.914
Ga3 Ga 0.440 0.914 0.136
Ga4 Ga 0.560 0.086 0.864
Ga5 Ga 0.864 0.560 0.086
Ga6 Ga 0.914 0.136 0.440

[7]
# MgAl3Ga (PBE, optimized geometry)
# E = -3.156 eV per atom
# space group = P2_1/c, No. 14
# formation energy from the elements = 0.014 eV per atom
# energy above the lowest structure with this stoichiometry = 0.0 meV/atom
# total magnetization = 0.00 μB/cell
data_MgAl3Ga
_chemical_formula_sum 'Mg4 Al12 Ga4'
_cell_length_a 7.553
_cell_length_b 5.596
_cell_length_c 10.906
_cell_angle_alpha 90.00
_cell_angle_beta 126.16
_cell_angle_gamma 90.00
_space_group_name_H-M_alt 'P 1'
_space_group_IT_number 1
loop_
_space_group_symop_operation_xyz
'x,y,z'
loop_
_atom_site_label
_atom_site_type_symbol
_atom_site_fract_x
_atom_site_fract_y
_atom_site_fract_z
Mg1 Mg 0.191 0.244 0.028
Mg2 Mg 0.191 0.256 0.528
Mg3 Mg 0.809 0.744 0.472
Mg4 Mg 0.809 0.756 0.972
Al1 Al 0.017 0.745 0.304
Al2 Al 0.017 0.755 0.804
Al3 Al 0.367 0.507 0.843
Al4 Al 0.367 0.993 0.343
Al5 Al 0.368 0.005 0.843
Al6 Al 0.368 0.495 0.343
Al7 Al 0.632 0.505 0.657
Al8 Al 0.632 0.995 0.157
Al9 Al 0.633 0.007 0.657
Al10 Al 0.633 0.493 0.157
Al11 Al 0.983 0.245 0.196
Al12 Al 0.983 0.255 0.696
Ga1 Ga 0.284 0.744 0.103
Ga2 Ga 0.284 0.756 0.603
Ga3 Ga 0.716 0.244 0.397
Ga4 Ga 0.716 0.256 0.897

[8]
# Mg12AlGa3 (PBE, optimized geometry)
# E = -2.061 eV per atom
# space group = P4/mmm, No. 123
# formation energy from the elements = -0.063 eV per atom
# total magnetization = 0.00 μB/cell
data_Mg12AlGa3
_chemical_formula_sum 'Mg12 Al1 Ga3'
_cell_length_a 4.313
_cell_length_b 4.313
_cell_length_c 17.797
_cell_angle_alpha 90.00
_cell_angle_beta 90.00
_cell_angle_gamma 90.00
_space_group_name_H-M_alt 'P 1'
_space_group_IT_number 1
loop_
_space_group_symop_operation_xyz
'x,y,z'
loop_
_atom_site_label
_atom_site_type_symbol
_atom_site_fract_x
_atom_site_fract_y
_atom_site_fract_z
Mg1 Mg 0.000 0.000 0.000
Mg2 Mg 0.000 0.000 0.249
Mg3 Mg 0.000 0.000 0.500
Mg4 Mg 0.000 0.000 0.751
Mg5 Mg 0.000 0.500 0.125
Mg6 Mg 0.000 0.500 0.375
Mg7 Mg 0.000 0.500 0.625
Mg8 Mg 0.000 0.500 0.875
Mg9 Mg 0.500 0.000 0.125
Mg10 Mg 0.500 0.000 0.375
Mg11 Mg 0.500 0.000 0.625
Mg12 Mg 0.500 0.000 0.875
Al1 Al 0.500 0.500 0.500
Ga1 Ga 0.500 0.500 0.000
Ga2 Ga 0.500 0.500 0.249
Ga3 Ga 0.500 0.500 0.751

[9]
# Mg5Al2Ga (PBE, optimized geometry)
# E = -2.302 eV per atom
# space group = I4/mcm, No. 140
# formation energy from the elements = 0.009 eV per atom
# energy above the lowest structure with this stoichiometry = 14.7 meV/atom
# total magnetization = 0.00 μB/cell
data_Mg5Al2Ga
_chemical_formula_sum 'Mg10 Al4 Ga2'
_cell_length_a 8.434
_cell_length_b 8.434
_cell_length_c 8.434
_cell_angle_alpha 130.53
_cell_angle_beta 130.53
_cell_angle_gamma 72.56
_space_group_name_H-M_alt 'P 1'
_space_group_IT_number 1
loop_
_space_group_symop_operation_xyz
'x,y,z'
loop_
_atom_site_label
_atom_site_type_symbol
_atom_site_fract_x
_atom_site_fract_y
_atom_site_fract_z
Mg1 Mg 0.000 0.000 0.000
Mg2 Mg 0.007 0.507 0.826
Mg3 Mg 0.181 0.007 0.500
Mg4 Mg 0.319 0.819 0.826
Mg5 Mg 0.493 0.319 0.500
Mg6 Mg 0.500 0.500 0.000
Mg7 Mg 0.507 0.681 0.500
Mg8 Mg 0.681 0.181 0.174
Mg9 Mg 0.819 0.993 0.500
Mg10 Mg 0.993 0.493 0.174
Al1 Al 0.131 0.369 0.500
Al2 Al 0.369 0.869 0.239
Al3 Al 0.631 0.131 0.761
Al4 Al 0.869 0.631 0.500
Ga1 Ga 0.250 0.250 0.000
Ga2 Ga 0.750 0.750 0.000

[10]
# Mg17Al11Ga (PBE, optimized geometry)
# E = -2.500 eV per atom
# space group = Cm, No. 8
# formation energy from the elements = -0.042 eV per atom
# total magnetization = 0.00 μB/cell
data_Mg17Al11Ga
_chemical_formula_sum 'Mg17 Al11 Ga1'
_cell_length_a 9.109
_cell_length_b 9.109
_cell_length_c 9.116
_cell_angle_alpha 109.47
_cell_angle_beta 109.47
_cell_angle_gamma 109.44
_space_group_name_H-M_alt 'P 1'
_space_group_IT_number 1
loop_
_space_group_symop_operation_xyz
'x,y,z'
loop_
_atom_site_label
_atom_site_type_symbol
_atom_site_fract_x
_atom_site_fract_y
_atom_site_fract_z
Mg1 Mg 0.000 0.000 0.000
Mg2 Mg 0.001 0.001 0.658
Mg3 Mg 0.001 0.316 0.260
Mg4 Mg 0.001 0.345 0.659
Mg5 Mg 0.002 0.604 0.975
Mg6 Mg 0.287 0.685 0.343
Mg7 Mg 0.316 0.001 0.260
Mg8 Mg 0.317 0.604 0.660
Mg9 Mg 0.345 0.001 0.659
Mg10 Mg 0.399 0.715 0.057
Mg11 Mg 0.400 0.400 0.374
Mg12 Mg 0.604 0.002 0.975
Mg13 Mg 0.604 0.317 0.660
Mg14 Mg 0.657 0.657 0.315
Mg15 Mg 0.685 0.287 0.343
Mg16 Mg 0.686 0.686 0.945
Mg17 Mg 0.715 0.399 0.057
Al1 Al 0.001 0.635 0.474
Al2 Al 0.001 0.817 0.293
Al3 Al 0.182 0.367 0.025
Al4 Al 0.186 0.820 0.844
Al5 Al 0.366 0.366 0.838
Al6 Al 0.367 0.182 0.025
Al7 Al 0.634 0.816 0.658
Al8 Al 0.635 0.001 0.474
Al9 Al 0.816 0.634 0.658
Al10 Al 0.817 0.001 0.293
Al11 Al 0.820 0.186 0.844
Ga1 Ga 0.189 0.189 0.477

[11]
# Mg2AlGa (PBE, optimized geometry)
# E = -2.560 eV per atom
# space group = C2/m, No. 12
# formation energy from the elements = -0.070 eV per atom
# total magnetization = 0.00 μB/cell
data_Mg2AlGa
_chemical_formula_sum 'Mg4 Al2 Ga2'
_cell_length_a 5.171
_cell_length_b 5.171
_cell_length_c 8.529
_cell_angle_alpha 114.60
_cell_angle_beta 114.60
_cell_angle_gamma 49.27
_space_group_name_H-M_alt 'P 1'
_space_group_IT_number 1
loop_
_space_group_symop_operation_xyz
'x,y,z'
loop_
_atom_site_label
_atom_site_type_symbol
_atom_site_fract_x
_atom_site_fract_y
_atom_site_fract_z
Mg1 Mg 0.000 0.000 0.000
Mg2 Mg 0.000 0.000 0.500
Mg3 Mg 0.489 0.489 0.745
Mg4 Mg 0.511 0.511 0.255
Al1 Al 0.248 0.248 0.882
Al2 Al 0.752 0.752 0.118
Ga1 Ga 0.253 0.253 0.365
Ga2 Ga 0.747 0.747 0.635

[12]
# MgAl6Ga8 (PBE, optimized geometry)
# E = -3.136 eV per atom
# space group = P-3, No. 147
# formation energy from the elements = 0.082 eV per atom
# energy above the lowest structure with this stoichiometry = 0.0 meV/atom
# total magnetization = 0.00 μB/cell
data_MgAl6Ga8
_chemical_formula_sum 'Mg1 Al6 Ga8'
_cell_length_a 7.215
_cell_length_b 7.215
_cell_length_c 6.352
_cell_angle_alpha 90.00
_cell_angle_beta 90.00
_cell_angle_gamma 120.00
_space_group_name_H-M_alt 'P 1'
_space_group_IT_number 1
loop_
_space_group_symop_operation_xyz
'x,y,z'
loop_
_atom_site_label
_atom_site_type_symbol
_atom_site_fract_x
_atom_site_fract_y
_atom_site_fract_z
Mg1 Mg 0.000 0.000 0.000
Al1 Al 0.090 0.658 0.190
Al2 Al 0.342 0.432 0.190
Al3 Al 0.432 0.090 0.810
Al4 Al 0.568 0.910 0.190
Al5 Al 0.658 0.568 0.810
Al6 Al 0.910 0.342 0.810
Ga1 Ga 0.047 0.735 0.643
Ga2 Ga 0.265 0.311 0.643
Ga3 Ga 0.311 0.047 0.357
Ga4 Ga 0.333 0.667 0.855
Ga5 Ga 0.667 0.333 0.145
Ga6 Ga 0.689 0.953 0.643
Ga7 Ga 0.735 0.689 0.357
Ga8 Ga 0.953 0.265 0.357

- formation energy from the elements of number 12 (MgAl6Ga8)?
  0.082 eV per atom